[1]
Here is an optimized crystal structure of Tl2SnSbS4 from the Alexandria database. Energies are from PBE.

Values from the calculation:
N(E_F) = 3.3 states/eV/cell
M_tot = 0.00 μB/cell

a b c (Å): 5.8350 8.8775 9.3953
angles (deg): 90.00 90.00 90.00
Fractional positions:
Sn 0.9713 0.0843 0.0000
Sn 0.4713 0.9157 0.5000
S 0.9323 0.2552 0.7840
S 0.4323 0.7448 0.7160
S 0.9323 0.2552 0.2160
S 0.3970 0.2176 0.5000
S 0.9263 0.9339 0.5000
S 0.4323 0.7448 0.2840
S 0.4263 0.0661 0.0000
S 0.8970 0.7824 0.0000
Sb 0.4660 0.7880 0.0000
Sb 0.9660 0.2120 0.5000
Tl 0.9374 0.6386 0.7028
Tl 0.4374 0.3614 0.7972
Tl 0.9374 0.6386 0.2972
Tl 0.4374 0.3614 0.2028


[2]
Here is an optimized crystal structure of VSnSbS2 from the Alexandria database. Energies are from PBE.

Values from the calculation:
N(E_F) = 4.4 states/eV/cell
M_tot = 0.21 μB/cell

a b c (Å): 4.4749 5.6597 4.4749
angles (deg): 90.00 90.00 90.00
Fractional positions:
Sn 0.0000 0.5000 0.0000
Sb 0.5000 0.5000 0.5000
V 0.0000 0.0000 0.0000
S 0.0000 0.0000 0.5000
S 0.5000 0.0000 0.0000


[3]
Here is an optimized crystal structure of YSnSbS2 from the Alexandria database. Energies are from PBE.

Values from the calculation:
N(E_F) = 4.6 states/eV/cell
M_tot = 0.00 μB/cell

a b c (Å): 4.9117 6.1841 4.9117
angles (deg): 90.00 90.00 90.00
Fractional positions:
S 0.5000 0.0000 0.0000
S 0.0000 0.0000 0.5000
Y 0.0000 0.5000 0.0000
Sb 0.5000 0.5000 0.5000
Sn 0.0000 0.0000 0.0000


[4]
Here is an optimized crystal structure of Sr8Sb5S from the Alexandria database. Energies are from PBE.

Values from the calculation:
N(E_F) = 9.0 states/eV/cell
M_tot = 0.00 μB/cell

a b c (Å): 8.6032 8.6032 8.6032
angles (deg): 109.99 108.44 109.99
Fractional positions:
Sb 0.7528 0.6211 0.6285
Sb 0.0074 0.3789 0.1317
Sb 0.8683 0.8756 0.2472
Sb 0.3715 0.1244 0.9926
Sb 0.5000 0.0000 0.5000
Sr 0.4842 0.6021 0.2393
Sr 0.6041 0.8697 0.8619
Sr 0.1381 0.7422 0.0078
Sr 0.2656 0.2578 0.3959
Sr 0.9922 0.1303 0.7344
Sr 0.1179 0.7551 0.5158
Sr 0.7607 0.2449 0.3628
Sr 0.6372 0.3979 0.8821
S 0.2500 0.5000 0.7500


[5]
Here is an optimized crystal structure of SrSb3S from the Alexandria database. Energies are from PBE.

Values from the calculation:
N(E_F) = 3.3 states/eV/cell
M_tot = 0.00 μB/cell
E above lowest polymorph = 0.00 eV per formula unit

a b c (Å): 5.3351 5.3351 5.3351
angles (deg): 90.00 90.00 90.00
Fractional positions:
S 0.0000 0.0000 0.0000
Sb 0.0000 0.5000 0.0000
Sb 0.5000 0.0000 0.0000
Sb 0.0000 0.0000 0.5000
Sr 0.5000 0.5000 0.5000


[6]
Here is an optimized crystal structure of Sr4Sb2S from the Alexandria database. Energies are from PBE.

Values from the calculation:
M_tot = 0.00 μB/cell
E above lowest polymorph = 0.23 eV per formula unit

a b c (Å): 5.4919 5.4919 9.4980
angles (deg): 106.80 106.80 90.00
Fractional positions:
Sb 0.6332 0.6332 0.2663
Sb 0.3668 0.3668 0.7337
Sr 0.8226 0.8226 0.6452
Sr 0.5000 0.0000 0.0000
Sr 0.1774 0.1774 0.3548
Sr 0.0000 0.5000 0.0000
S 0.0000 0.0000 0.0000


[7]
Here is an optimized crystal structure of Sr2SbS3 from the Alexandria database. Energies are from PBE.

Values from the calculation:
N(E_F) = 2.4 states/eV/cell
M_tot = 0.00 μB/cell

a b c (Å): 6.1723 8.4995 7.2260
angles (deg): 107.09 115.28 90.00
Fractional positions:
S 0.8425 0.9211 0.6852
S 0.4991 0.2500 0.0000
S 0.5009 0.7500 0.0000
S 0.1573 0.5789 0.3148
S 0.8427 0.4211 0.6852
S 0.1575 0.0789 0.3148
Sb 0.0004 0.7500 0.0000
Sb 0.9996 0.2500 0.0000
Sr 0.6643 0.5821 0.3288
Sr 0.6645 0.0821 0.3288
Sr 0.3355 0.9179 0.6712
Sr 0.3357 0.4179 0.6712


[8]
Here is an optimized crystal structure of SrSbS4 from the Alexandria database. Energies are from PBE.

Values from the calculation:
N(E_F) = 3.6 states/eV/cell
M_tot = 0.00 μB/cell

a b c (Å): 7.2447 7.8946 7.2502
angles (deg): 117.10 113.75 100.25
Fractional positions:
S 0.7942 0.1045 0.0580
S 0.7362 0.5464 0.9420
S 0.3817 0.1609 0.3454
S 0.2638 0.4536 0.0580
S 0.6183 0.8391 0.6546
S 0.0363 0.3155 0.6546
S 0.9637 0.6845 0.3454
S 0.2058 0.8955 0.9420
Sr 0.3743 0.1243 0.7486
Sr 0.6257 0.8757 0.2514
Sb 0.1831 0.4331 0.3662
Sb 0.8169 0.5669 0.6338


[9]
Here is an optimized crystal structure of SrSb2S4 from the Alexandria database. Energies are from PBE.

Values from the calculation:
M_tot = 0.00 μB/cell

a b c (Å): 3.9900 6.8489 13.5326
angles (deg): 90.00 90.00 106.94
Fractional positions:
S 0.5000 0.0000 0.5000
S 0.2306 0.4612 0.8844
S 0.5000 0.0000 0.0000
S 0.7694 0.5388 0.1156
S 0.0520 0.1040 0.2500
S 0.7694 0.5388 0.3844
S 0.9480 0.8960 0.7500
S 0.2306 0.4612 0.6156
Sb 0.1333 0.2665 0.4298
Sb 0.8667 0.7335 0.9298
Sb 0.1333 0.2665 0.0702
Sb 0.8667 0.7335 0.5702
Sr 0.3885 0.7770 0.2500
Sr 0.6115 0.2230 0.7500


[10]
Here is an optimized crystal structure of SrSb3S from the Alexandria database. Energies are from PBE.

Values from the calculation:
N(E_F) = 6.0 states/eV/cell
M_tot = 1.77 μB/cell
E above lowest polymorph = 6.36 eV per formula unit

a b c (Å): 6.0345 6.0345 6.0345
angles (deg): 90.00 90.00 90.00
Fractional positions:
Sr 0.0000 0.0000 0.0000
Sb 0.0000 0.5000 0.0000
Sb 0.0000 0.0000 0.5000
Sb 0.5000 0.0000 0.0000
S 0.5000 0.5000 0.5000


[11]
Here is an optimized crystal structure of Sr2Sb2S from the Alexandria database. Energies are from PBE.

Values from the calculation:
N(E_F) = 3.5 states/eV/cell
M_tot = 0.00 μB/cell

a b c (Å): 8.0635 8.0635 5.1935
angles (deg): 90.00 90.00 90.00
Fractional positions:
S 0.5000 0.5000 0.0000
S 0.0000 0.0000 0.0000
Sr 0.8168 0.6832 0.0000
Sr 0.3168 0.8168 0.0000
Sr 0.1832 0.3168 0.0000
Sr 0.6832 0.1832 0.0000
Sb 0.8804 0.3804 0.5000
Sb 0.6196 0.8804 0.5000
Sb 0.1196 0.6196 0.5000
Sb 0.3804 0.1196 0.5000


[12]
Here is an optimized crystal structure of Sr4Sb2S from the Alexandria database. Energies are from PBE.

Values from the calculation:
M_tot = 0.00 μB/cell
E above lowest polymorph = 0.00 eV per formula unit

a b c (Å): 7.5590 8.2704 9.1681
angles (deg): 90.00 114.35 90.00
Fractional positions:
Sr 0.2286 0.2500 0.9572
Sr 0.7714 0.7500 0.0428
Sr 0.2714 0.7500 0.0428
Sr 0.8204 0.9155 0.6408
Sr 0.1796 0.0845 0.3592
Sr 0.6796 0.4155 0.3592
Sr 0.3204 0.5845 0.6408
Sr 0.7286 0.2500 0.9572
Sb 0.3682 0.9716 0.7364
Sb 0.1318 0.4716 0.2636
Sb 0.8682 0.5284 0.7364
Sb 0.6318 0.0284 0.2636
S 0.0000 0.0000 0.0000
S 0.5000 0.5000 0.0000


[13]
Here is an optimized crystal structure of Sr2SbS4 from the Alexandria database. Energies are from PBE.

Values from the calculation:
N(E_F) = 2.8 states/eV/cell
M_tot = 0.00 μB/cell

a b c (Å): 4.0080 7.8663 7.6453
angles (deg): 125.29 105.20 90.00
Fractional positions:
Sb 0.0000 0.0000 0.0000
S 0.3423 0.7777 0.6846
S 0.6577 0.2223 0.3154
S 0.0273 0.6996 0.0545
S 0.9727 0.3004 0.9455
Sr 0.3471 0.3950 0.6943
Sr 0.6529 0.6050 0.3057


[14]
Here is an optimized crystal structure of Sr12Sb3S5 from the Alexandria database. Energies are from PBE.

Values from the calculation:
N(E_F) = 57.4 states/eV/cell
M_tot = 0.31 μB/cell

a b c (Å): 15.8294 15.8294 15.8294
angles (deg): 109.47 109.47 109.47
Fractional positions:
Sr 0.7865 0.4627 0.3721
Sr 0.0856 0.1762 0.2135
Sr 0.3238 0.5373 0.4094
Sr 0.6279 0.5906 0.9144
Sr 0.0373 0.6279 0.7135
Sr 0.2135 0.5373 0.6279
Sr 0.2135 0.6762 0.0856
Sr 0.0856 0.9094 0.3721
Sr 0.3721 0.4094 0.0856
Sr 0.4144 0.1279 0.5906
Sr 0.9627 0.3721 0.2865
Sr 0.1279 0.4144 0.0906
Sr 0.9094 0.8238 0.5373
Sr 0.4094 0.3721 0.5856
Sr 0.6762 0.2135 0.5856
Sr 0.2865 0.4144 0.8238
Sr 0.5906 0.9627 0.6762
Sr 0.6279 0.0373 0.2135
Sr 0.3238 0.7865 0.4144
Sr 0.0906 0.9144 0.1279
Sr 0.5906 0.6279 0.4144
Sr 0.9094 0.0856 0.8721
Sr 0.2865 0.8721 0.9627
Sr 0.8238 0.9094 0.0373
Sr 0.4627 0.7865 0.8721
Sr 0.1762 0.0906 0.9627
Sr 0.9144 0.0906 0.6279
Sr 0.1279 0.7135 0.5373
Sr 0.4627 0.6762 0.0906
Sr 0.8721 0.2865 0.4627
Sr 0.9144 0.8238 0.7865
Sr 0.7135 0.5856 0.1762
Sr 0.3721 0.9627 0.7865
Sr 0.7135 0.1279 0.0373
Sr 0.0906 0.1762 0.4627
Sr 0.5373 0.2135 0.1279
Sr 0.0373 0.4094 0.8238
Sr 0.5373 0.3238 0.9094
Sr 0.1762 0.0856 0.7135
Sr 0.4144 0.2865 0.3238
Sr 0.7865 0.3238 0.9144
Sr 0.4094 0.0373 0.3238
Sr 0.8238 0.9144 0.2865
Sr 0.9627 0.5906 0.1762
Sr 0.6762 0.4627 0.5906
Sr 0.5856 0.8721 0.4094
Sr 0.5856 0.7135 0.6762
Sr 0.8721 0.5856 0.9094
Sb 0.1250 0.2500 0.8750
Sb 0.8750 0.1250 0.2500
Sb 0.2500 0.6250 0.8750
Sb 0.7500 0.3750 0.1250
Sb 0.6250 0.3750 0.7500
Sb 0.2500 0.1250 0.3750
Sb 0.3750 0.7500 0.6250
Sb 0.7500 0.8750 0.6250
Sb 0.8750 0.7500 0.1250
Sb 0.1250 0.8750 0.7500
Sb 0.6250 0.2500 0.3750
Sb 0.3750 0.6250 0.2500
S 0.0000 0.5000 0.0000
S 0.6250 0.8750 0.2500
S 0.0000 0.5000 0.5000
S 0.5000 0.0000 0.5000
S 0.8750 0.2500 0.6250
S 0.0000 0.0000 0.5000
S 0.0000 0.0000 0.0000
S 0.2500 0.3750 0.6250
S 0.3750 0.1250 0.7500
S 0.5000 0.5000 0.5000
S 0.6250 0.7500 0.8750
S 0.5000 0.0000 0.0000
S 0.7500 0.6250 0.3750
S 0.3750 0.2500 0.1250
S 0.2500 0.8750 0.1250
S 0.1250 0.3750 0.2500
S 0.8750 0.6250 0.7500
S 0.5000 0.5000 0.0000
S 0.7500 0.1250 0.8750
S 0.1250 0.7500 0.3750


[15]
Here is an optimized crystal structure of SrSb2S from the Alexandria database. Energies are from PBE.

Values from the calculation:
N(E_F) = 2.5 states/eV/cell
M_tot = 0.00 μB/cell

a b c (Å): 9.3386 9.3386 7.1997
angles (deg): 49.57 49.57 90.00
Fractional positions:
Sb 0.1870 0.6250 0.2500
Sb 0.8750 0.8130 0.7500
Sb 0.3750 0.4370 0.7500
Sb 0.5630 0.1250 0.2500
S 0.2500 0.7500 0.5000
S 0.5000 0.5000 0.0000
Sr 0.7500 0.2500 0.5000
Sr 0.0000 0.0000 0.0000


[16]
Here is an optimized crystal structure of Sr3SbS6 from the Alexandria database. Energies are from PBE.

Values from the calculation:
N(E_F) = 24.4 states/eV/cell
M_tot = 0.01 μB/cell

a b c (Å): 8.3889 8.3889 8.3889
angles (deg): 91.35 91.35 91.35
Fractional positions:
S 0.4552 0.5734 0.7885
S 0.9315 0.0735 0.2854
S 0.2115 0.5448 0.4266
S 0.2854 0.9315 0.0735
S 0.5734 0.7885 0.4552
S 0.7885 0.4552 0.5734
S 0.7146 0.0685 0.9265
S 0.4266 0.2115 0.5448
S 0.9265 0.7146 0.0685
S 0.5448 0.4266 0.2115
S 0.0735 0.2854 0.9315
S 0.0685 0.9265 0.7146
Sr 0.4315 0.9251 0.7490
Sr 0.2510 0.5685 0.0749
Sr 0.0749 0.2510 0.5685
Sr 0.7490 0.4315 0.9251
Sr 0.9251 0.7490 0.4315
Sr 0.5685 0.0749 0.2510
Sb 0.0000 0.0000 0.0000
Sb 0.5000 0.5000 0.5000


[17]
Here is an optimized crystal structure of SrSbTe2S from the Alexandria database. Energies are from PBE.

Values from the calculation:
N(E_F) = 7.7 states/eV/cell
M_tot = 1.87 μB/cell
E above lowest polymorph = 5.46 eV per formula unit

a b c (Å): 6.1108 6.1108 6.3466
angles (deg): 90.00 90.00 90.00
Fractional positions:
Sb 0.0000 0.0000 0.5000
Te 0.0000 0.5000 0.0000
Te 0.5000 0.0000 0.0000
S 0.5000 0.5000 0.5000
Sr 0.0000 0.0000 0.0000


[18]
Here is an optimized crystal structure of SrSbTe2S from the Alexandria database. Energies are from PBE.

Values from the calculation:
N(E_F) = 3.1 states/eV/cell
M_tot = 0.00 μB/cell
E above lowest polymorph = 0.34 eV per formula unit

a b c (Å): 5.3411 5.6169 5.3411
angles (deg): 90.00 90.00 90.00
Fractional positions:
Sb 0.5000 0.5000 0.5000
S 0.0000 0.0000 0.0000
Te 0.5000 0.0000 0.0000
Te 0.0000 0.0000 0.5000
Sr 0.0000 0.5000 0.0000


[19]
Here is an optimized crystal structure of SrSbTe2S from the Alexandria database. Energies are from PBE.

Values from the calculation:
N(E_F) = 5.2 states/eV/cell
M_tot = 0.00 μB/cell
E above lowest polymorph = 0.00 eV per formula unit

a b c (Å): 5.3779 5.3779 5.3343
angles (deg): 90.00 90.00 90.00
Fractional positions:
Sb 0.0000 0.0000 0.5000
Sr 0.5000 0.5000 0.5000
Te 0.5000 0.0000 0.0000
Te 0.0000 0.5000 0.0000
S 0.0000 0.0000 0.0000


[20]
Here is an optimized crystal structure of SrSb2TeS from the Alexandria database. Energies are from PBE.

Values from the calculation:
N(E_F) = 1.8 states/eV/cell
M_tot = 0.00 μB/cell
E above lowest polymorph = 0.00 eV per formula unit

a b c (Å): 5.3113 5.3113 5.4227
angles (deg): 90.00 90.00 90.00
Fractional positions:
Sr 0.5000 0.5000 0.5000
Te 0.0000 0.0000 0.5000
Sb 0.5000 0.0000 0.0000
Sb 0.0000 0.5000 0.0000
S 0.0000 0.0000 0.0000


| no. | calculated volume (Å³ per cell) | formation energy without anion corrections (eV per atom) |
| --- | --- | --- |
| 1 | 486.7 | -0.28 |
| 2 | 113.3 | 0.00 |
| 3 | 149.2 | 0.21 |
| 4 | 490.1 | -1.16 |
| 5 | 151.9 | -0.12 |
| 6 | 261.4 | -1.26 |
| 7 | 324.2 | -1.34 |
| 8 | 302.8 | -0.64 |
| 9 | 353.8 | -0.76 |
| 10 | 219.7 | 1.15 |
| 11 | 337.7 | -0.93 |
| 12 | 522.2 | -1.29 |
| 13 | 186.3 | -1.22 |
| 14 | 3053.3 | -1.24 |
| 15 | 250.2 | -0.33 |
| 16 | 589.9 | -1.15 |
| 17 | 237.0 | 0.80 |
| 18 | 160.2 | -0.23 |
| 19 | 154.3 | -0.29 |
| 20 | 153.0 | -0.20 |